DFT (GGA-PBE) results for a geometry-optimized ReSbH3 structure.

Cell: 3.982 3.982 3.982 Å, 90.00 90.00 90.00°
Fractional coordinates of all 5 atoms:
Re1 0.500 0.500 0.500
Sb1 0.000 0.000 0.000
H1 0.500 0.000 0.000
H2 0.000 0.000 0.500
H3 0.000 0.500 0.000

E in eV per atom: -3.672
Energy relative to the lowest polymorph listed for this composition in meV per atom: 1059
Crystal system: cubic
Space group: Pm-3m

---

DFT (GGA-PBE) results for a geometry-optimized ReSbH2 structure.

Cell: 5.850 5.850 4.915 Å, 53.48 53.48 90.00°
Fractional coordinates of all 8 atoms:
Re1 0.750 0.250 0.500
H1 0.875 0.978 0.750
H2 0.728 0.125 0.250
Sb1 0.500 0.500 0.000
Re2 0.000 0.000 0.000
H3 0.022 0.625 0.250
Sb2 0.250 0.750 0.500
H4 0.375 0.272 0.750

E in eV per atom: -5.340
Energy relative to the lowest polymorph listed for this composition in meV per atom: 0
Crystal system: tetragonal
Space group: I-42d

---

DFT (GGA-PBE) results for a geometry-optimized ReSb3H structure.

Cell: 4.542 4.542 4.542 Å, 90.00 90.00 90.00°
Fractional coordinates of all 5 atoms:
Sb1 0.000 0.000 0.500
Re1 0.500 0.500 0.500
Sb2 0.000 0.500 0.000
H1 0.000 0.000 0.000
Sb3 0.500 0.000 0.000

E in eV per atom: -4.577
Energy relative to the lowest polymorph listed for this composition in meV per atom: 51
Crystal system: cubic
Space group: Pm-3m

---

DFT (GGA-PBE) results for a geometry-optimized ReSbH3 structure.

Cell: 3.684 3.684 3.684 Å, 90.00 90.00 90.00°
Fractional coordinates of all 5 atoms:
Sb1 0.500 0.500 0.500
Re1 0.000 0.000 0.000
H1 0.000 0.500 0.000
H2 0.000 0.000 0.500
H3 0.500 0.000 0.000

E in eV per atom: -4.731
Energy relative to the lowest polymorph listed for this composition in meV per atom: 0
Crystal system: cubic
Space group: Pm-3m

---

DFT (GGA-PBE) results for a geometry-optimized ScRe2SbH structure.

Cell: 3.954 4.745 3.954 Å, 90.00 90.00 90.00°
Fractional coordinates of all 5 atoms:
Sc1 0.500 0.500 0.500
Re1 0.500 0.000 0.000
Sb1 0.000 0.500 0.000
H1 0.000 0.000 0.000
Re2 0.000 0.000 0.500

E in eV per atom: -7.440
Crystal system: tetragonal
Space group: P4/mmm

---

DFT (GGA-PBE) results for a geometry-optimized Re2SiSbH structure.

Cell: 5.028 5.288 5.028 Å, 90.00 90.00 90.00°
Fractional coordinates of all 5 atoms:
Sb1 0.000 0.000 0.000
Si1 0.000 0.500 0.000
Re1 0.500 0.000 0.000
H1 0.500 0.500 0.500
Re2 0.000 0.000 0.500

E in eV per atom: -4.667
Crystal system: tetragonal
Space group: P4/mmm

---

DFT (GGA-PBE) results for a geometry-optimized ReSbTe2H structure.

Cell: 5.063 5.063 3.728 Å, 90.00 90.00 90.00°
Fractional coordinates of all 5 atoms:
H1 0.000 0.000 0.000
Te1 0.000 0.500 0.000
Te2 0.500 0.000 0.000
Sb1 0.000 0.000 0.500
Re1 0.500 0.500 0.500

E in eV per atom: -4.159
Energy relative to the lowest polymorph listed for this composition in meV per atom: 9
Crystal system: tetragonal
Space group: P4/mmm

---

DFT (GGA-PBE) results for a geometry-optimized ReSbTe2H structure.

Cell: 5.281 5.281 5.214 Å, 90.00 90.00 90.00°
Fractional coordinates of all 5 atoms:
Te1 0.000 0.500 0.000
Sb1 0.000 0.000 0.500
Re1 0.000 0.000 0.000
H1 0.500 0.500 0.500
Te2 0.500 0.000 0.000

E in eV per atom: -4.168
Energy relative to the lowest polymorph listed for this composition in meV per atom: 0
Crystal system: tetragonal
Space group: P4/mmm

---

DFT (GGA-PBE) results for a geometry-optimized ReSb2TeH structure.

Cell: 5.179 5.179 5.248 Å, 90.00 90.00 90.00°
Fractional coordinates of all 5 atoms:
Te1 0.000 0.000 0.500
Sb1 0.500 0.000 0.000
H1 0.500 0.500 0.500
Re1 0.000 0.000 0.000
Sb2 0.000 0.500 0.000

E in eV per atom: -4.387
Energy relative to the lowest polymorph listed for this composition in meV per atom: 0
Crystal system: tetragonal
Space group: P4/mmm

---

DFT (GGA-PBE) results for a geometry-optimized ReSbTeH2 structure.

Cell: 3.891 6.553 3.891 Å, 90.00 90.00 90.00°
Fractional coordinates of all 5 atoms:
H1 0.500 0.000 0.000
Re1 0.500 0.500 0.500
Te1 0.000 0.000 0.000
H2 0.000 0.000 0.500
Sb1 0.000 0.500 0.000

E in eV per atom: -4.244
Crystal system: tetragonal
Space group: P4/mmm

---

DFT (GGA-PBE) results for a geometry-optimized ReSb2TeH structure.

Cell: 4.306 4.306 5.197 Å, 90.00 90.00 90.00°
Fractional coordinates of all 5 atoms:
H1 0.000 0.000 0.000
Te1 0.000 0.000 0.500
Sb1 0.500 0.000 0.000
Sb2 0.000 0.500 0.000
Re1 0.500 0.500 0.500

E in eV per atom: -4.336
Energy relative to the lowest polymorph listed for this composition in meV per atom: 50
Crystal system: tetragonal
Space group: P4/mmm

---

DFT (GGA-PBE) results for a geometry-optimized VReSbH2 structure.

Cell: 3.611 5.727 3.611 Å, 90.00 90.00 90.00°
Fractional coordinates of all 5 atoms:
H1 0.500 0.000 0.000
H2 0.000 0.000 0.500
V1 0.000 0.500 0.000
Sb1 0.000 0.000 0.000
Re1 0.500 0.500 0.500

E in eV per atom: -5.392
Crystal system: tetragonal
Space group: P4/mmm

---

Question: Number 12 is which compound?
Answer: VReSbH2